The following is a GGA-PBE calculation of a relaxed SrNp2CdO8 crystal, from Alexandria.

The calculation puts the total energy at -8.072 eV per atom.

It has space group I-4 (No. 82), with a = 5.4828 Å, b = 5.4828 Å, c = 10.5744 Å, α = 90.00°, β = 90.00° and γ = 90.00°. The distinct sites, in fractional coordinates, are Sr at (0.0000, 0.0000, 0.0000), Np at (0.0000, 0.0000, 0.5000), Np at (0.0000, 0.5000, 0.2500), Cd at (0.0000, 0.5000, 0.7500), O at (0.2107, 0.7639, 0.3887) and O at (0.2239, 0.2558, 0.3572).